No. 1
# Al2AgRh, optimized geometry, DFT PBE-GGA
# E above lowest polymorph	0.049	eV/atom
# E_form	-0.4952	eV/atom
# total moment	0.000	μB/atom
# theoretical density	7.4	g/cm3
# uncorrected energy	-39.3	eV per cell
data_Al2AgRh
_space_group_name_H-M_alt 'C m m m'
_space_group_IT_number 65
_space_group_name_Hall '-C 2 2'
_cell_length_a 6.174
_cell_length_b 6.182
_cell_length_c 3.111
_cell_angle_alpha 90.00
_cell_angle_beta 90.00
_cell_angle_gamma 90.00
loop_
_atom_site_label
_atom_site_fract_x
_atom_site_fract_y
_atom_site_fract_z
Al1 0.250 0.250 0.000
Ag1 0.000 0.000 0.500
Rh1 0.000 0.500 0.500


No. 2
# VIn2TeIr, optimized geometry, DFT PBE-GGA
# total moment	0.652	μB/atom
# theoretical density	7.6	g/cm3
# uncorrected energy	-21.2	eV per cell
# formation energy from raw total energies	525	kJ/mol of formula units
data_VIn2TeIr
_space_group_name_H-M_alt 'P 4/m m m'
_space_group_IT_number 123
_space_group_name_Hall '-P 4 2'
_cell_length_a 5.171
_cell_length_b 5.171
_cell_length_c 4.906
_cell_angle_alpha 90.00
_cell_angle_beta 90.00
_cell_angle_gamma 90.00
loop_
_atom_site_label
_atom_site_fract_x
_atom_site_fract_y
_atom_site_fract_z
V1 0.000 0.000 0.000
In1 0.000 0.500 0.000
Te1 0.000 0.000 0.500
Ir1 0.500 0.500 0.500


No. 3
# Li8Cd2Sn, optimized geometry, DFT PBE-GGA
# E above lowest polymorph	0.000	eV/atom
# E_form	-0.2385	eV/atom
# total moment	0.000	μB/atom
# theoretical density	3.2	g/cm3
# uncorrected energy	-47.5	eV per cell
data_Li8Cd2Sn
_space_group_name_H-M_alt 'I m m m'
_space_group_IT_number 71
_space_group_name_Hall '-I 2 2'
_cell_length_a 4.652
_cell_length_b 7.352
_cell_length_c 12.061
_cell_angle_alpha 90.00
_cell_angle_beta 90.00
_cell_angle_gamma 90.00
loop_
_atom_site_label
_atom_site_fract_x
_atom_site_fract_y
_atom_site_fract_z
Li1 0.000 0.000 0.143
Li2 0.000 0.201 0.359
Li3 0.000 0.293 0.000
Cd1 0.000 0.500 0.211
Sn1 0.000 0.500 0.500


No. 4
# Ta2ZnSe, optimized geometry, DFT PBE-GGA
# E above lowest polymorph	0.125	eV/atom
# total moment	0.000	μB/atom
# theoretical density	12.1	g/cm3
# uncorrected energy	-56.2	eV per cell
# formation energy from raw total energies	36	kJ/mol of formula units
data_Ta2ZnSe
_space_group_name_H-M_alt 'C 1 2/m 1'
_space_group_IT_number 12
_cell_length_a 9.101
_cell_length_b 3.211
_cell_length_c 4.813
_cell_angle_alpha 90.00
_cell_angle_beta 97.58
_cell_angle_gamma 90.00
loop_
_space_group_symop_operation_xyz
'x,y,z'
'-x,-y,-z'
'-x,y,-z'
'x,-y,z'
'x+1/2,y+1/2,z'
'-x+1/2,-y+1/2,-z'
'-x+1/2,y+1/2,-z'
'x+1/2,-y+1/2,z'
loop_
_atom_site_label
_atom_site_fract_x
_atom_site_fract_y
_atom_site_fract_z
Ta1 0.248 0.000 0.245
Zn1 0.000 0.500 0.000
Se1 0.000 0.000 0.500